## AcLaPt3 (PBE)

Data for an optimized crystal structure of AcLaPt3.

abc: 14.0341 14.0341 4.3935
angles: 90.00 90.00 163.13
Fractional coordinates of all 10 atoms:
Ac 0.0725 0.9275 0.7500
Ac 0.9275 0.0725 0.2500
La 0.2042 0.7958 0.2500
La 0.7958 0.2042 0.7500
Pt 0.3136 0.6864 0.2500
Pt 0.3772 0.6228 0.7500
Pt 0.4725 0.5275 0.7500
Pt 0.5275 0.4725 0.2500
Pt 0.6228 0.3772 0.2500
Pt 0.6864 0.3136 0.7500

Properties
calculated total energy	-6.54	eV/atom
density of states at the Fermi level	6.49	states/eV per cell